# HfMn2RhF (GGA+U, optimized geometry)
# size of the total moment	1.666	μB/atom
# calculated density	6.17	g cm⁻³
# calculated volume	110.48	Å³ per cell
# calculated total energy	-6.40	eV/atom
data_HfMn2RhF
_space_group_name_H-M_alt 'P 4/m m m'
_space_group_IT_number 123
_space_group_name_Hall '-P 4 2'
_cell_length_a 5.330
_cell_length_b 5.330
_cell_length_c 3.888
_cell_angle_alpha 90.00
_cell_angle_beta 90.00
_cell_angle_gamma 90.00
loop_
_atom_site_label
_atom_site_fract_x
_atom_site_fract_y
_atom_site_fract_z
_atom_site_occupancy
Hf1 0.000 0.000 0.000 1
Mn1 0.000 0.500 0.000 1
Rh1 0.500 0.500 0.500 1
F1 0.000 0.000 0.500 1